! AlTeN2O | Alexandria via LeMat-Bulk | PBE | optimized geometry; values from VASP
! E_form (uncorrected): 0.7 eV per formula unit
! E: -5.55 eV/atom
! symmetry: No. 123
&SYSTEM
  ibrav = 0, nat = 5, ntyp = 4
/
ATOMIC_SPECIES
N 14.01 N.upf
Te 127.60 Te.upf
O 16.00 O.upf
Al 26.98 Al.upf
ATOMIC_POSITIONS angstrom
N -0.3200 -1.2114 1.4812
Te 1.5630 -2.8534 0.5451
N 0.0782 -1.5088 -1.2171
O 1.8048 -0.1331 0.2810
Al 0.0000 0.0000 0.0000
CELL_PARAMETERS angstrom
-0.6400 -2.4229 2.9624
0.1564 -3.0175 -2.4342
3.6096 -0.2663 0.5620